Record 1
Here is a relaxed Pr2Cu3Ge4 crystal from Alexandria via LeMat-Bulk. Energies are from PBE.

abc: 5.816 15.155 7.606
angles: 90.00 90.00 90.00
Space group Cmce (No. 64)
One atom of each set of equivalent atoms:
Pr (0.000, 0.113, 0.094) [8 per cell]
Cu (0.000, 0.000, 0.500) [4 per cell]
Cu (0.250, 0.218, 0.750) [8 per cell]
Ge (0.000, 0.182, 0.480) [8 per cell]
Ge (0.250, 0.055, 0.750) [8 per cell]

Summary:
DFT total energy: -176.62 eV for the cell shown
Total moment: 0.00 μB per atom
Energy of formation: -3.84 eV per formula unit



Record 2
Here is a relaxed Rb3ScIn crystal from Alexandria via LeMat-Bulk. Energies are from PBE.

abc: 6.981 6.981 6.981
angles: 90.00 90.00 90.00
Space group Pm-3m (No. 221)
One atom of each set of equivalent atoms:
Rb (0.000, 0.000, 0.500) [3 per cell]
Sc (0.500, 0.500, 0.500) [1 per cell]
In (0.000, 0.000, 0.000) [1 per cell]

Summary:
DFT total energy: -8.13 eV for the cell shown
Total moment: 0.06 μB per atom
Energy of formation: 3.84 eV per formula unit
Relative energy among the computed polymorphs: 0.00 eV/f.u.



Record 3
Here is a relaxed CaSmGdEr crystal from Alexandria via LeMat-Bulk. Energies are from PBE.

abc: 8.160 8.160 8.160
angles: 90.00 90.00 90.00
Space group F-43m (No. 216)
One atom of each set of equivalent atoms:
Ca (0.000, 0.000, 0.000) [4 per cell]
Sm (0.250, 0.250, 0.750) [4 per cell]
Gd (0.250, 0.250, 0.250) [4 per cell]
Er (0.000, 0.000, 0.500) [4 per cell]

Summary:
DFT total energy: -99.32 eV for the cell shown
Total moment: 1.89 μB per atom
Energy of formation: 0.54 eV per formula unit



Record 4
Here is a relaxed TbTmHgC crystal from Alexandria via LeMat-Bulk. Energies are from PBE.

abc: 3.5787 3.5787 23.5174
angles: 90.00 90.00 120.00
Space group R3m (No. 160, hexagonal axes)
One atom of each set of equivalent atoms:
Tb (0.0000, 0.0000, 0.0000) [3 per cell]
Tm (0.0000, 0.0000, 0.2189) [3 per cell]
Hg (0.0000, 0.0000, 0.7790) [3 per cell]
C (0.0000, 0.0000, 0.6088) [3 per cell]

Summary:
DFT total energy: -60.58 eV for the cell shown
Total moment: 0.00 μB per atom
Energy of formation: -1.56 eV per formula unit



Record 5
Here is a relaxed CePaAs2O crystal from Alexandria via LeMat-Bulk. Energies are from PBE.

abc: 4.032 4.032 13.758
angles: 90.00 90.00 90.00
Space group P4/nmm (No. 129, origin choice 2)
One atom of each set of equivalent atoms:
Ce (0.250, 0.250, 0.089) [2 per cell]
Pa (0.250, 0.250, 0.613) [2 per cell]
As (0.250, 0.250, 0.394) [2 per cell]
As (0.250, 0.250, 0.811) [2 per cell]
O (0.250, 0.750, 0.000) [2 per cell]

Summary:
Raw formation energy: -164.3 kJ/mol of atoms
DFT total energy: -76.40 eV for the cell shown
Total moment: 0.04 μB per atom



Record 6
Here is a relaxed SrLaTl crystal from Alexandria via LeMat-Bulk. Energies are from PBE.

abc: 3.879 7.020 8.779
angles: 82.87 77.32 74.36
Space group P1 (No. 1)
One atom of each set of equivalent atoms:
Sr (0.000, 0.000, 0.000) [1 per cell]
Sr (0.250, 0.490, 0.998) [1 per cell]
La (0.202, 0.217, 0.391) [1 per cell]
La (0.848, 0.711, 0.590) [1 per cell]
Tl (0.508, 0.703, 0.278) [1 per cell]
Tl (0.554, 0.207, 0.697) [1 per cell]

Summary:
DFT total energy: -18.87 eV for the cell shown
Total moment: 0.00 μB per atom
Energy of formation: -0.46 eV per formula unit



Record 7
Here is a relaxed LiSmMg2Ag4 crystal from Alexandria via LeMat-Bulk. Energies are from PBE.

abc: 4.7708 4.7708 24.5651
angles: 90.00 90.00 120.00
Space group R-3m (No. 166, hexagonal axes)
One atom of each set of equivalent atoms:
Li (0.0000, 0.0000, 0.0000) [3 per cell]
Sm (0.0000, 0.0000, 0.5000) [3 per cell]
Mg (0.0000, 0.0000, 0.2547) [6 per cell]
Ag (0.0000, 0.0000, 0.1071) [6 per cell]
Ag (0.0000, 0.0000, 0.3719) [6 per cell]

Summary:
DFT total energy: -69.39 eV for the cell shown
Total moment: 0.00 μB per atom
Energy of formation: -1.90 eV per formula unit



Record 8
Here is a relaxed La2SmN2 crystal from Alexandria via LeMat-Bulk. Energies are from PBE.

abc: 3.6372 3.6372 28.7922
angles: 90.00 90.00 120.00
Space group R-3m (No. 166, hexagonal axes)
One atom of each set of equivalent atoms:
La (0.0000, 0.0000, 0.2340) [6 per cell]
Sm (0.0000, 0.0000, 0.0000) [3 per cell]
N (0.0000, 0.0000, 0.3858) [6 per cell]

Summary:
Raw formation energy: -108.7 kJ/mol of atoms
DFT total energy: -110.58 eV for the cell shown
Total moment: 0.00 μB per atom
Relative energy among the computed polymorphs: 0.00 eV/f.u.



Record 9
Here is a relaxed ThPd15Pb4 crystal from Alexandria via LeMat-Bulk. Energies are from PBE.

abc: 4.134 4.134 20.665
angles: 90.00 90.00 90.00
Space group P4/mmm (No. 123)
One atom of each set of equivalent atoms:
Th (0.000, 0.000, 0.000) [1 per cell]
Pd (0.000, 0.500, 0.102) [4 per cell]
Pd (0.000, 0.500, 0.302) [4 per cell]
Pd (0.000, 0.500, 0.500) [2 per cell]
Pd (0.500, 0.500, 0.000) [1 per cell]
Pd (0.500, 0.500, 0.203) [2 per cell]
Pd (0.500, 0.500, 0.401) [2 per cell]
Pb (0.000, 0.000, 0.204) [2 per cell]
Pb (0.000, 0.000, 0.402) [2 per cell]

Summary:
DFT total energy: -108.66 eV for the cell shown
Total moment: 0.00 μB per atom
Energy of formation: -8.51 eV per formula unit



Record 10
Here is a relaxed PrThC4 crystal from Alexandria via LeMat-Bulk. Energies are from PBE.

abc: 3.831 3.832 6.457
angles: 90.00 90.24 90.00
Space group P2/m (No. 10)
One atom of each set of equivalent atoms:
Pr (0.000, 0.000, 0.000) [1 per cell]
Th (0.500, 0.500, 0.500) [1 per cell]
C (0.001, 0.000, 0.398) [2 per cell]
C (0.500, 0.500, 0.101) [2 per cell]

Summary:
DFT total energy: -49.96 eV for the cell shown
Total moment: 0.00 μB per atom
Energy of formation: -0.86 eV per formula unit



Record 11
Here is a relaxed Rb2BaNa6 crystal from Alexandria via LeMat-Bulk. Energies are from PBE.

abc: 19.217 11.108 4.327
angles: 90.00 90.44 90.00
Space group C2/m (No. 12)
One atom of each set of equivalent atoms:
Rb (0.167, 0.000, 0.000) [4 per cell]
Ba (0.000, 0.500, 0.000) [2 per cell]
Na (0.000, 0.177, 0.500) [4 per cell]
Na (0.162, 0.338, 0.501) [8 per cell]

Summary:
DFT total energy: -22.98 eV for the cell shown
Total moment: 0.00 μB per atom
Energy of formation: 0.28 eV per formula unit



Record 12
Here is a relaxed La2Pu12Ir7 crystal from Alexandria via LeMat-Bulk. Energies are from PBE.

abc: 11.6779 11.6779 4.1413
angles: 90.00 90.00 120.00
Space group P-6 (No. 174)
One atom of each set of equivalent atoms:
La (0.0000, 0.0000, 0.0000) [1 per cell]
La (0.3333, 0.6667, 0.5000) [1 per cell]
Pu (0.0299, 0.7510, 0.5000) [3 per cell]
Pu (0.0871, 0.3972, 0.0000) [3 per cell]
Pu (0.3761, 0.2163, 0.0000) [3 per cell]
Pu (0.5436, 0.1184, 0.5000) [3 per cell]
Ir (0.1137, 0.6470, 0.0000) [3 per cell]
Ir (0.2226, 0.0129, 0.5000) [3 per cell]
Ir (0.6667, 0.3333, 0.0000) [1 per cell]

Summary:
DFT total energy: -250.38 eV for the cell shown
Total moment: 1.47 μB per atom
Energy of formation: -6.52 eV per formula unit



Record 13
Here is a relaxed Ca2MnCl crystal from Alexandria via LeMat-Bulk. Energies are from PBE.

abc: 3.742 6.611 9.726
angles: 90.00 90.00 90.00
Space group Immm (No. 71)
One atom of each set of equivalent atoms:
Ca (0.000, 0.000, 0.213) [4 per cell]
Mn (0.000, 0.500, 0.000) [2 per cell]
Cl (0.000, 0.500, 0.500) [2 per cell]

Summary:
Raw formation energy: -25.9 kJ/mol of atoms
DFT total energy: -32.18 eV for the cell shown
Total moment: 1.01 μB per atom
Relative energy among the computed polymorphs: 1.00 eV/f.u.



Record 14
Here is a relaxed YTaW2 crystal from Alexandria via LeMat-Bulk. Energies are from PBE.

abc: 2.781 2.781 9.830
angles: 90.00 90.00 90.00
Space group P4/mmm (No. 123)
One atom of each set of equivalent atoms:
Y (0.000, 0.000, 0.000) [1 per cell]
Ta (0.000, 0.000, 0.500) [1 per cell]
W (0.500, 0.500, 0.265) [2 per cell]

Summary:
DFT total energy: -42.07 eV for the cell shown
Total moment: 0.00 μB per atom
Energy of formation: 2.15 eV per formula unit
Relative energy among the computed polymorphs: 0.92 eV/f.u.



Record 15
Here is a relaxed TiZnTe2N crystal from Alexandria via LeMat-Bulk. Energies are from PBE.

abc: 5.590 5.590 3.708
angles: 90.00 90.00 90.00
Space group P4/mmm (No. 123)
One atom of each set of equivalent atoms:
Ti (0.000, 0.000, 0.000) [1 per cell]
Zn (0.500, 0.500, 0.500) [1 per cell]
Te (0.000, 0.500, 0.000) [2 per cell]
N (0.000, 0.000, 0.500) [1 per cell]

Summary:
Raw formation energy: 4.5 kJ/mol of atoms
DFT total energy: -23.54 eV for the cell shown
Total moment: 0.00 μB per atom
Relative energy among the computed polymorphs: 0.00 eV/f.u.



Record 16
Here is a relaxed Sm6P5Se crystal from Alexandria via LeMat-Bulk. Energies are from PBE.

abc: 7.137 12.351 7.137
angles: 90.00 109.47 90.00
Space group C2/m (No. 12)
One atom of each set of equivalent atoms:
Sm (0.243, 0.000, 0.255) [4 per cell]
Sm (0.244, 0.171, 0.745) [8 per cell]
P (0.000, 0.000, 0.500) [2 per cell]
P (0.000, 0.167, 0.000) [4 per cell]
P (0.000, 0.335, 0.500) [4 per cell]
Se (0.000, 0.500, 0.000) [2 per cell]

Summary:
Raw formation energy: -161.0 kJ/mol of atoms
DFT total energy: -157.75 eV for the cell shown
Total moment: 0.00 μB per atom



Record 17
Here is a relaxed Y2Mn2Cu15 crystal from Alexandria via LeMat-Bulk. Energies are from PBE.

abc: 8.5744 8.5744 12.6001
angles: 90.00 90.00 120.00
Space group R-3m (No. 166, hexagonal axes)
One atom of each set of equivalent atoms:
Y (0.0000, 0.0000, 0.1569) [6 per cell]
Mn (0.0000, 0.0000, 0.4018) [6 per cell]
Cu (0.0000, 0.2956, 0.5000) [18 per cell]
Cu (0.0000, 0.5000, 0.0000) [9 per cell]
Cu (0.0009, 0.5004, 0.6527) [18 per cell]

Summary:
DFT total energy: -282.30 eV for the cell shown
Total moment: 0.38 μB per atom
Energy of formation: -1.39 eV per formula unit



Record 18
Here is a relaxed Be2Ru2C crystal from Alexandria via LeMat-Bulk. Energies are from PBE.

abc: 5.290 5.290 3.496
angles: 90.00 90.00 90.00
Space group P4/mbm (No. 127)
One atom of each set of equivalent atoms:
Be (0.139, 0.361, 0.000) [4 per cell]
Ru (0.178, 0.678, 0.500) [4 per cell]
C (0.000, 0.000, 0.000) [2 per cell]

Summary:
DFT total energy: -64.92 eV for the cell shown
Total moment: 0.00 μB per atom
Energy of formation: 2.77 eV per formula unit
Relative energy among the computed polymorphs: 0.00 eV/f.u.



Record 19
Here is a relaxed LiCeTm crystal from Alexandria via LeMat-Bulk. Energies are from PBE.

abc: 3.3542 3.3542 8.3902
angles: 90.00 90.00 120.00
Space group P3m1 (No. 156)
One atom of each set of equivalent atoms:
Li (0.0000, 0.0000, 0.0000) [1 per cell]
Ce (0.3333, 0.6667, 0.6621) [1 per cell]
Tm (0.6667, 0.3333, 0.3272) [1 per cell]

Summary:
DFT total energy: -11.86 eV for the cell shown
Total moment: 0.21 μB per atom
Energy of formation: 0.46 eV per formula unit
Relative energy among the computed polymorphs: 0.00 eV/f.u.



Record 20
Here is a relaxed TaTiP3O12 crystal from Alexandria via LeMat-Bulk. Energies are from PBE.

abc: 8.6833 8.6833 22.3149
angles: 90.00 90.00 120.00
Space group R3c (No. 161, hexagonal axes)
One atom of each set of equivalent atoms:
Ta (0.0000, 0.0000, 0.0000) [6 per cell]
Ti (0.0000, 0.0000, 0.2167) [6 per cell]
P (0.0553, 0.3818, 0.2762) [18 per cell]
O (0.0306, 0.1975, 0.5532) [18 per cell]
O (0.0327, 0.1976, 0.2656) [18 per cell]
O (0.1609, 0.4653, 0.6183) [18 per cell]
O (0.1699, 0.4677, 0.3314) [18 per cell]

Summary:
Raw formation energy: -245.8 kJ/mol of atoms
DFT total energy: -832.72 eV for the cell shown
Total moment: 0.00 μB per atom



Record 21
Here is a relaxed KBa3U2S9 crystal from Alexandria via LeMat-Bulk. Energies are from PBE.

abc: 7.1611 7.1611 10.7801
angles: 90.00 90.00 120.00
Space group P-3m1 (No. 164)
One atom of each set of equivalent atoms:
K (0.0000, 0.0000, 0.0000) [1 per cell]
Ba (0.0000, 0.0000, 0.5000) [1 per cell]
Ba (0.3333, 0.6667, 0.2600) [2 per cell]
U (0.3333, 0.6667, 0.6568) [2 per cell]
S (0.0000, 0.5000, 0.5000) [3 per cell]
S (0.1623, 0.3246, 0.7756) [6 per cell]

Summary:
Raw formation energy: -149.9 kJ/mol of atoms
DFT total energy: -89.89 eV for the cell shown
Total moment: 0.07 μB per atom



Record 22
Here is a relaxed CuPdPb2Cl crystal from Alexandria via LeMat-Bulk. Energies are from PBE.

abc: 5.350 5.350 4.834
angles: 90.00 90.00 90.00
Space group P4/mmm (No. 123)
One atom of each set of equivalent atoms:
Cu (0.000, 0.000, 0.000) [1 per cell]
Pd (0.000, 0.000, 0.500) [1 per cell]
Pb (0.000, 0.500, 0.500) [2 per cell]
Cl (0.500, 0.500, 0.000) [1 per cell]

Summary:
Raw formation energy: 2.0 kJ/mol of atoms
DFT total energy: -18.45 eV for the cell shown
Total moment: 0.00 μB per atom